Here is an optimized crystal structure of Ta3TlTe from Alexandria via LeMat-Bulk. Energies are from PBE.

Density of states at the Fermi level, states/eV/cell: 13.51
Magnetic moment, μB per cell: 0.0
Energy above the most stable polymorph in this dataset, eV per atom: 0.537

a = 5.118 Å, b = 5.118 Å, c = 5.118 Å
α = 90.00°, β = 90.00°, γ = 90.00°
Space group Pm-3m (No. 221)
Unique sites:
1 Ta 0.000 0.000 0.500 [3 per cell]
2 Tl 0.000 0.000 0.000 [1 per cell]
3 Te 0.500 0.500 0.500 [1 per cell]